1.
First-principles (PBE-GGA) data for crystalline La2HgRu at its relaxed geometry, as listed in Alexandria via LeMat-Bulk.

The structure in POSCAR format:
```
La2HgRu
1.0
-1.0528 -3.4859 3.5416
3.7517 -2.7196 2.0812
1.3408 0.8043 4.8331
Hg La Ru
1 2 1
direct
0.5000 0.5000 0.5000 Hg
0.0000 0.0000 0.0000 La
0.2500 0.2500 0.2500 La
0.7500 0.7500 0.7500 Ru
```

Properties
* volume: 23.170 Å³/atom
* total DFT energy (no corrections): -4.95 eV per atom
* DOS(E_F): 6.3 states/eV per cell
* energy of formation: -34 kJ/mol of formula units



2.
First-principles (PBE-GGA) data for crystalline FeCuNi6 at its relaxed geometry, as listed in Alexandria via LeMat-Bulk.

The structure in POSCAR format:
```
FeCuNi6
1.0
4.0718 0.0000 0.0000
0.0000 5.0205 -0.1626
0.0000 -2.3686 4.4296
Fe Cu Ni
1 1 6
direct
0.5000 0.4166 0.5834 Fe
0.0000 0.0833 0.9166 Cu
0.0000 0.0808 0.4154 Ni
0.0000 0.5846 0.9192 Ni
0.0000 0.5847 0.4153 Ni
0.5000 0.4181 0.0842 Ni
0.5000 0.9158 0.5819 Ni
0.5000 0.9157 0.0843 Ni
```

Properties
* volume: 11.123 Å³/atom
* total DFT energy (no corrections): -5.92 eV per atom
* DOS(E_F): 8.6 states/eV per cell
* energy of formation: -9 kJ/mol of formula units
* energy relative to the lowest polymorph listed for this composition: 23 meV/atom



3.
First-principles (PBE-GGA) data for crystalline Li2Sc2Pb at its relaxed geometry, as listed in Alexandria via LeMat-Bulk.

The structure in POSCAR format:
```
Li2Sc2Pb
1.0
3.4547 0.0000 0.0000
0.0000 3.4547 0.0000
1.7274 1.7274 9.4455
Pb Sc Li
1 2 2
direct
0.0000 0.0000 0.0000 Pb
0.3935 0.3935 0.2131 Sc
0.6065 0.6065 0.7869 Sc
0.7500 0.2500 0.5000 Li
0.2500 0.7500 0.5000 Li
```

Properties
* volume: 22.547 Å³/atom
* total DFT energy (no corrections): -3.96 eV per atom
* DOS(E_F): 4.3 states/eV per cell
* energy of formation: 39 kJ/mol of formula units
* energy relative to the lowest polymorph listed for this composition: 180 meV/atom



4.
First-principles (PBE-GGA) data for crystalline HgMoSe2 at its relaxed geometry, as listed in Alexandria via LeMat-Bulk.

The structure in POSCAR format:
```
HgMoSe2
1.0
7.2715 -0.0080 -0.0169
-3.0887 3.8026 0.0116
1.0941 1.4041 2.9520
Hg Mo Se
1 1 2
direct
0.0000 0.5000 0.5000 Hg
0.5000 0.5000 0.0000 Mo
0.0000 0.0000 0.0000 Se
0.5000 0.0000 0.5000 Se
```

Properties
* volume: 20.395 Å³/atom
* total DFT energy (no corrections): -4.01 eV per atom
* DOS(E_F): 2.3 states/eV per cell
* E_form (uncorrected): 2.08 eV/f.u.



Among the records above, which one has the lowest total DFT energy (no corrections)?
FeCuNi6